Record 1
## LiHoTh2P4 (PBE)

Data for LiHoTh2P4 after structural relaxation.

Output
DOS at the Fermi energy (states/eV/f.u.): 2.388
DFT formation energy (eV per atom): -1.237
Spin magnetization (μB/atom): 0.0000

Cell lengths 6.882, 4.144, 7.154 Å; angles 90.00, 109.91, 90.00 degrees
Atoms (fractional coordinates):
Li (0.000, 0.000, 0.000)
Ho (0.000, 0.500, 0.500)
Th (0.500, 0.000, 0.500)
Th (0.500, 0.500, 0.000)
P (0.244, 0.000, 0.748)
P (0.252, 0.500, 0.253)
P (0.748, 0.500, 0.747)
P (0.756, 0.000, 0.252)

Record 2
## LiHo2Pa (PBE)

Data for LiHo2Pa after structural relaxation.

Output
Offset from the most stable computed form (meV/atom): 210.0
DOS at the Fermi energy (states/eV/f.u.): 4.616
DFT formation energy (eV per atom): 0.341
Spin magnetization (μB/atom): 0.0000

Cell lengths 11.974, 11.974, 11.974 Å; angles 15.50, 15.50, 15.50 degrees
Atoms (fractional coordinates):
Li (0.000, 0.000, 0.000)
Ho (0.411, 0.411, 0.411)
Ho (0.589, 0.589, 0.589)
Pa (0.500, 0.500, 0.500)

Record 3
## LiHo2Pa (PBE)

Data for LiHo2Pa after structural relaxation.

Output
Offset from the most stable computed form (meV/atom): 0.0
DOS at the Fermi energy (states/eV/f.u.): 4.266
DFT formation energy (eV per atom): 0.131
Spin magnetization (μB/atom): 0.0002

Cell lengths 3.399, 3.399, 9.222 Å; angles 90.00, 90.00, 90.00 degrees
Atoms (fractional coordinates):
Li (0.000, 0.000, 0.000)
Ho (0.500, 0.500, 0.250)
Ho (0.500, 0.500, 0.750)
Pa (0.000, 0.000, 0.500)